1.
The following is a PBE calculation of a geometry-optimized Th2TlRuPb structure, from Alexandria via LeMat-Bulk.

Properties
**Space group**: P2_1/m (11)

Lattice parameters (Å, degrees): 4.1707 9.0728 9.1777 125.55 90.00 90.00
Fractional positions:
Th1 0.7500 0.7167 0.5764
Th2 0.7500 0.8580 0.0520
Th3 0.2500 0.2833 0.4236
Th4 0.2500 0.1420 0.9480
Tl1 0.2500 0.4811 0.8640
Tl2 0.7500 0.5189 0.1360
Ru1 0.2500 0.7417 0.7858
Ru2 0.7500 0.2583 0.2142
Pb1 0.2500 0.8509 0.3605
Pb2 0.7500 0.1491 0.6395

2.
The following is a PBE calculation of a geometry-optimized Th2ZnRuPb structure, from Alexandria via LeMat-Bulk.

Properties
**Space group**: P2_1/m (11)

Lattice parameters (Å, degrees): 4.1981 7.9958 8.0097 108.40 90.00 90.00
Fractional positions:
Th1 0.7500 0.9009 0.6604
Th2 0.7500 0.7179 0.0149
Th3 0.2500 0.0991 0.3396
Th4 0.2500 0.2821 0.9851
Zn1 0.2500 0.5674 0.6565
Zn2 0.7500 0.4326 0.3435
Ru1 0.2500 0.8780 0.8906
Ru2 0.7500 0.1220 0.1094
Pb1 0.2500 0.6721 0.3297
Pb2 0.7500 0.3279 0.6703

3.
The following is a PBE calculation of a geometry-optimized Ti2RuPb structure, from Alexandria via LeMat-Bulk.

Properties
**Space group**: I-42d (122)

Lattice parameters (Å, degrees): 7.4076 7.4076 5.9538 51.53 51.53 90.00
Fractional positions:
Pb1 0.0000 0.0000 0.0000
Pb2 0.7500 0.2500 0.5000
Ru1 0.5000 0.5000 0.0000
Ru2 0.2500 0.7500 0.5000
Ti1 0.5669 0.1250 0.2500
Ti2 0.1831 0.6250 0.2500
Ti3 0.3750 0.4331 0.7500
Ti4 0.8750 0.8169 0.7500

4.
The following is a PBE calculation of a geometry-optimized Ti2RuPb structure, from Alexandria via LeMat-Bulk.

Properties
**Space group**: P4/mmm (123)

Lattice parameters (Å, degrees): 3.0670 3.0670 7.7800 90.00 90.00 90.00
Fractional positions:
Pb1 0.5000 0.5000 0.5000
Ru1 0.5000 0.5000 0.0000
Ti1 0.0000 0.0000 0.8007
Ti2 0.0000 0.0000 0.1993

5.
The following is a PBE calculation of a geometry-optimized TiRu2Pb structure, from Alexandria via LeMat-Bulk.

Properties
**Space group**: I-42d (122)

Lattice parameters (Å, degrees): 4.1972 4.1972 9.1689 76.77 76.77 90.00
Fractional positions:
Pb1 0.0000 0.0000 0.0000
Pb2 0.7500 0.2500 0.5000
Ru1 0.5544 0.1250 0.2500
Ru2 0.1956 0.6250 0.2500
Ru3 0.3750 0.4456 0.7500
Ru4 0.8750 0.8044 0.7500
Ti1 0.5000 0.5000 0.0000
Ti2 0.2500 0.7500 0.5000

6.
The following is a PBE calculation of a geometry-optimized TiTl2RuPb structure, from Alexandria via LeMat-Bulk.

Properties
**Space group**: P4/mmm (123)

Lattice parameters (Å, degrees): 5.5040 4.4620 5.5040 90.00 90.00 90.00
Fractional positions:
Pb1 0.5000 0.5000 0.5000
Ru1 0.0000 0.5000 0.0000
Tl1 0.0000 0.0000 0.5000
Tl2 0.5000 0.0000 0.0000
Ti1 0.0000 0.0000 0.0000

7.
The following is a PBE calculation of a geometry-optimized Zr2TiRuPb structure, from Alexandria via LeMat-Bulk.

Properties
**Space group**: P4/mmm (123)

Lattice parameters (Å, degrees): 4.7996 5.1562 4.7996 90.00 90.00 90.00
Fractional positions:
Pb1 0.0000 0.5000 0.0000
Ru1 0.5000 0.5000 0.5000
Zr1 0.0000 0.0000 0.5000
Zr2 0.5000 0.0000 0.0000
Ti1 0.0000 0.0000 0.0000

8.
The following is a PBE calculation of a geometry-optimized TlRuPb2 structure, from Alexandria via LeMat-Bulk.

Properties
**Space group**: R3m (160)

Lattice parameters (Å, degrees): 10.3852 10.3852 10.3852 18.77 18.77 18.77
Fractional positions:
Pb1 0.0010 0.0010 0.0010
Pb2 0.2324 0.2324 0.2324
Ru1 0.5004 0.5004 0.5004
Tl1 0.7663 0.7663 0.7663

9.
The following is a PBE calculation of a geometry-optimized TlRu2Pb structure, from Alexandria via LeMat-Bulk.

Properties
**Space group**: R3m (160)

Lattice parameters (Å, degrees): 10.6455 10.6455 10.6455 16.44 16.44 16.44
Fractional positions:
Pb1 0.7341 0.7341 0.7341
Ru1 0.9885 0.9885 0.9885
Ru2 0.2614 0.2614 0.2614
Tl1 0.5160 0.5160 0.5160

10.
The following is a PBE calculation of a geometry-optimized TlRuPb2 structure, from Alexandria via LeMat-Bulk.

Properties
**Space group**: Immm (71)

Lattice parameters (Å, degrees): 7.3835 7.3835 7.3835 154.67 143.05 45.33
Fractional positions:
Pb1 0.9271 0.9271 0.0000
Pb2 0.5729 0.5729 0.0000
Ru1 0.7500 0.2500 0.5000
Tl1 0.2500 0.7500 0.5000

11.
The following is a PBE calculation of a geometry-optimized TlRu2Pb structure, from Alexandria via LeMat-Bulk.

Properties
**Space group**: Fm-3m (225)

Lattice parameters (Å, degrees): 4.6900 4.6900 4.6900 60.00 60.00 60.00
Fractional positions:
Pb1 0.5000 0.5000 0.5000
Ru1 0.2500 0.2500 0.2500
Ru2 0.7500 0.7500 0.7500
Tl1 0.0000 0.0000 0.0000

12.
The following is a PBE calculation of a geometry-optimized TlRuPb3 structure, from Alexandria via LeMat-Bulk.

Properties
**Space group**: Pm-3m (221)

Lattice parameters (Å, degrees): 5.3217 5.3217 5.3217 90.00 90.00 90.00
Fractional positions:
Pb1 0.0000 0.5000 0.0000
Pb2 0.0000 0.0000 0.5000
Pb3 0.5000 0.0000 0.0000
Ru1 0.0000 0.0000 0.0000
Tl1 0.5000 0.5000 0.5000

Number 1: energy of formation -309 meV/atom, M_tot 0.00 μB/f.u.. Number 2: energy of formation -355 meV/atom, M_tot 0.00 μB/f.u.. Number 3: energy of formation 155 meV/atom, M_tot 0.00 μB/f.u.. Number 4: energy of formation -217 meV/atom, M_tot 0.00 μB/f.u.. Number 5: energy of formation 471 meV/atom, M_tot 0.00 μB/f.u.. Number 6: energy of formation 603 meV/atom, M_tot 0.00 μB/f.u.. Number 7: energy of formation 1084 meV/atom, M_tot 1.19 μB/f.u.. Number 8: energy of formation 383 meV/atom, M_tot 0.03 μB/f.u.. Number 9: energy of formation 604 meV/atom, M_tot 0.00 μB/f.u.. Number 10: energy of formation 280 meV/atom, M_tot 0.00 μB/f.u.. Number 11: energy of formation 526 meV/atom, M_tot 0.00 μB/f.u.. Number 12: energy of formation 251 meV/atom, M_tot 0.00 μB/f.u..